## ReAu2Br (GGA-PBE)

Data for a geometry-optimized ReAu2Br structure.

```
data_ReAu2Br
_chemical_formula_sum 'Re1 Au2 Br1'
_space_group_name_H-M_alt 'P m m m'
_space_group_IT_number 47
_cell_length_a 2.9249
_cell_length_b 3.0923
_cell_length_c 8.5464
_cell_angle_alpha 90.00
_cell_angle_beta 90.00
_cell_angle_gamma 90.00
loop_
_space_group_symop_operation_xyz
'x,y,z'
'-x,-y,-z'
'-x,-y,z'
'x,y,-z'
'x,-y,-z'
'-x,y,z'
'-x,y,-z'
'x,-y,z'
loop_
_atom_site_label
_atom_site_type_symbol
_atom_site_fract_x
_atom_site_fract_y
_atom_site_fract_z
Re1 Re 0.0000 0.0000 0.0000
Au1 Au 0.5000 0.5000 0.2144
Br1 Br 0.5000 0.0000 0.5000
```

Density, g/cm³: 14.18
Excess energy over the best structure of this formula in the dataset, meV per atom: 123.5
Crystal system: orthorhombic
DOS(E_F), states/eV per cell: 3.2
E, eV per atom: -4.54